Here is crystalline ZnIBr at its relaxed geometry from Alexandria via LeMat-Bulk. Energies are from PBE-GGA.

Properties
calculated volume = 265.01 Å³ per cell
formation energy from raw total energies = -730.6 meV per atom
total moment = 0.00 μB/atom

```
ZnIBr
1.0
-3.646 0.512 -5.449
-0.705 -6.577 0.113
-2.829 3.619 6.096
Zn I Br
2 2 2
Direct
0.195 0.031 0.312 Zn
0.695 0.031 0.312 Zn
0.827 0.121 0.064 I
0.576 0.369 0.560 I
0.335 0.724 0.107 Br
0.042 0.930 0.518 Br
```